# 1
Al2TeIr: optimized geometry, PBE-GGA.

Geometry as CIF:
```
data_Al2TeIr
_symmetry_space_group_name_H-M 'P 1'
_symmetry_Int_Tables_number 1
_cell_length_a 2.9583
_cell_length_b 3.1009
_cell_length_c 8.0568
_cell_angle_alpha 90.00
_cell_angle_beta 90.00
_cell_angle_gamma 90.00
loop_
_symmetry_equiv_pos_as_xyz
'x,y,z'
loop_
_atom_site_label
_atom_site_type_symbol
_atom_site_fract_x
_atom_site_fract_y
_atom_site_fract_z
_atom_site_occupancy
Al1 Al 0.0000 0.0000 0.1887 1
Al2 Al 0.0000 0.0000 0.8113 1
Te1 Te 0.5000 0.5000 0.5000 1
Ir1 Ir 0.5000 0.5000 0.0000 1
```

Its uncorrected formation energy is -0.230 eV per atom. As for the calculated density: 8398 kg/m³.

***

# 2
Y2ZnCd16: optimized geometry, PBE-GGA.

Geometry as CIF:
```
data_Y2ZnCd16
_symmetry_space_group_name_H-M 'P 1'
_symmetry_Int_Tables_number 1
_cell_length_a 7.6212
_cell_length_b 7.6212
_cell_length_c 7.6212
_cell_angle_alpha 82.09
_cell_angle_beta 82.09
_cell_angle_gamma 82.09
loop_
_symmetry_equiv_pos_as_xyz
'x,y,z'
loop_
_atom_site_label
_atom_site_type_symbol
_atom_site_fract_x
_atom_site_fract_y
_atom_site_fract_z
_atom_site_occupancy
Y1 Y 0.0000 0.0000 0.0000 1
Y2 Y 0.3530 0.3530 0.3530 1
Zn1 Zn 0.5842 0.5842 0.5842 1
Cd1 Cd 0.0134 0.0134 0.5649 1
Cd2 Cd 0.0134 0.5649 0.0134 1
Cd3 Cd 0.2214 0.6490 0.6490 1
Cd4 Cd 0.2960 0.2960 0.9108 1
Cd5 Cd 0.2960 0.9108 0.2960 1
Cd6 Cd 0.3711 0.6793 0.9852 1
Cd7 Cd 0.3711 0.9852 0.6793 1
Cd8 Cd 0.5649 0.0134 0.0134 1
Cd9 Cd 0.6490 0.2214 0.6490 1
Cd10 Cd 0.6490 0.6490 0.2214 1
Cd11 Cd 0.6793 0.3711 0.9852 1
Cd12 Cd 0.6793 0.9852 0.3711 1
Cd13 Cd 0.7683 0.7683 0.7683 1
Cd14 Cd 0.9108 0.2960 0.2960 1
Cd15 Cd 0.9852 0.3711 0.6793 1
Cd16 Cd 0.9852 0.6793 0.3711 1
```

Its calculated formation energy is -105 meV per atom. As for the calculated density: 7865 kg/m³.

***

# 3
Sc2ZnTe: optimized geometry, PBE-GGA.

Geometry as CIF:
```
data_Sc2ZnTe
_symmetry_space_group_name_H-M 'P 1'
_symmetry_Int_Tables_number 1
_cell_length_a 4.1594
_cell_length_b 4.9223
_cell_length_c 8.3699
_cell_angle_alpha 90.00
_cell_angle_beta 90.00
_cell_angle_gamma 90.00
loop_
_symmetry_equiv_pos_as_xyz
'x,y,z'
loop_
_atom_site_label
_atom_site_type_symbol
_atom_site_fract_x
_atom_site_fract_y
_atom_site_fract_z
_atom_site_occupancy
Sc1 Sc 0.0000 0.0000 0.2467 1
Sc2 Sc 0.0000 0.0000 0.7533 1
Sc3 Sc 0.5000 0.5000 0.2533 1
Sc4 Sc 0.5000 0.5000 0.7467 1
Zn1 Zn 0.0000 0.5000 0.5000 1
Zn2 Zn 0.5000 0.0000 0.0000 1
Te1 Te 0.0000 0.5000 0.0000 1
Te2 Te 0.5000 0.0000 0.5000 1
```

As for the energy above the most stable polymorph in this dataset: 134 meV/atom. Its uncorrected formation energy is -0.488 eV per atom. As for the calculated density: 5483 kg/m³.

***

# 4
FeCu2As2: optimized geometry, PBE-GGA.

Geometry as CIF:
```
data_FeCu2As2
_symmetry_space_group_name_H-M 'P 1'
_symmetry_Int_Tables_number 1
_cell_length_a 6.6194
_cell_length_b 6.6194
_cell_length_c 3.2662
_cell_angle_alpha 90.00
_cell_angle_beta 90.00
_cell_angle_gamma 90.00
loop_
_symmetry_equiv_pos_as_xyz
'x,y,z'
loop_
_atom_site_label
_atom_site_type_symbol
_atom_site_fract_x
_atom_site_fract_y
_atom_site_fract_z
_atom_site_occupancy
Fe1 Fe 0.0000 0.0000 0.0000 1
Fe2 Fe 0.5000 0.5000 0.0000 1
Cu1 Cu 0.1280 0.3720 0.0000 1
Cu2 Cu 0.3720 0.8720 0.0000 1
Cu3 Cu 0.6280 0.1280 0.0000 1
Cu4 Cu 0.8720 0.6280 0.0000 1
As1 As 0.1798 0.6798 0.5000 1
As2 As 0.3202 0.1798 0.5000 1
As3 As 0.6798 0.8202 0.5000 1
As4 As 0.8202 0.3202 0.5000 1
```

Its calculated formation energy is 435 meV per atom. As for the energy above the most stable polymorph in this dataset: 276 meV/atom. As for the calculated density: 7722 kg/m³.

***

# 5
LiIn2Hg5: optimized geometry, PBE-GGA.

Geometry as CIF:
```
data_LiIn2Hg5
_symmetry_space_group_name_H-M 'P 1'
_symmetry_Int_Tables_number 1
_cell_length_a 6.1280
_cell_length_b 6.1280
_cell_length_c 13.6000
_cell_angle_alpha 90.00
_cell_angle_beta 90.00
_cell_angle_gamma 128.17
loop_
_symmetry_equiv_pos_as_xyz
'x,y,z'
loop_
_atom_site_label
_atom_site_type_symbol
_atom_site_fract_x
_atom_site_fract_y
_atom_site_fract_z
_atom_site_occupancy
Li1 Li 0.2388 0.7612 0.7500 1
Li2 Li 0.7612 0.2388 0.2500 1
In1 In 0.2789 0.7211 0.1335 1
In2 In 0.2789 0.7211 0.3665 1
In3 In 0.7211 0.2789 0.6335 1
In4 In 0.7211 0.2789 0.8665 1
Hg1 Hg 0.0273 0.9727 0.2500 1
Hg2 Hg 0.1243 0.8757 0.5550 1
Hg3 Hg 0.1243 0.8757 0.9450 1
Hg4 Hg 0.4285 0.5715 0.6074 1
Hg5 Hg 0.4285 0.5715 0.8926 1
Hg6 Hg 0.5715 0.4285 0.1074 1
Hg7 Hg 0.5715 0.4285 0.3926 1
Hg8 Hg 0.8757 0.1243 0.0550 1
Hg9 Hg 0.8757 0.1243 0.4450 1
Hg10 Hg 0.9727 0.0273 0.7500 1
```

Its calculated formation energy is -63 meV per atom. As for the calculated density: 10252 kg/m³.

***

# 6
Hg2PO: optimized geometry, PBE-GGA.

Geometry as CIF:
```
data_Hg2PO
_symmetry_space_group_name_H-M 'P 1'
_symmetry_Int_Tables_number 1
_cell_length_a 5.6258
_cell_length_b 5.6258
_cell_length_c 11.1575
_cell_angle_alpha 90.00
_cell_angle_beta 90.00
_cell_angle_gamma 90.00
loop_
_symmetry_equiv_pos_as_xyz
'x,y,z'
loop_
_atom_site_label
_atom_site_type_symbol
_atom_site_fract_x
_atom_site_fract_y
_atom_site_fract_z
_atom_site_occupancy
Hg1 Hg 0.2216 0.2500 0.1250 1
Hg2 Hg 0.2500 0.7216 0.3750 1
Hg3 Hg 0.2500 0.7784 0.8750 1
Hg4 Hg 0.2784 0.2500 0.6250 1
Hg5 Hg 0.7216 0.7500 0.6250 1
Hg6 Hg 0.7500 0.2216 0.8750 1
Hg7 Hg 0.7500 0.2784 0.3750 1
Hg8 Hg 0.7784 0.7500 0.1250 1
P1 P 0.0000 0.0000 0.5000 1
P2 P 0.0000 0.5000 0.7500 1
P3 P 0.5000 0.0000 0.2500 1
P4 P 0.5000 0.5000 0.0000 1
O1 O 0.0000 0.0000 0.0000 1
O2 O 0.0000 0.5000 0.2500 1
O3 O 0.5000 0.0000 0.7500 1
O4 O 0.5000 0.5000 0.5000 1
```

As for the energy above the most stable polymorph in this dataset: 0 meV/atom. Its uncorrected formation energy is 0.159 eV per atom. As for the calculated density: 8429 kg/m³.